A | Ba4Pt3 PBE relaxed; DOS at the Fermi energy = 5.5 states/eV/f.u.; SG = P6/mmm; total moment = 2.1 μB/cell
1.0
2.999 -5.194 0.000
2.999 5.194 0.000
0.000 0.000 6.589
Ba Pt
4 3
Direct
0.667 0.333 0.500
0.000 0.000 0.233
0.000 0.000 0.767
0.333 0.667 0.500
0.000 0.500 0.000
0.500 0.000 0.000
0.500 0.500 0.000

---

B | Ba4Pt3 PBE relaxed; DOS at the Fermi energy = 5.5 states/eV/f.u.; SG = I4/mmm; total moment = 0.0 μB/cell
1.0
-2.200 2.200 13.289
2.200 -2.200 13.289
2.200 2.200 -13.289
Ba Pt
4 3
Direct
0.194 0.194 0.000
0.806 0.806 0.000
0.566 0.566 0.000
0.434 0.434 0.000
0.318 0.318 0.000
0.000 0.000 0.000
0.682 0.682 0.000

---

Least stable structure: A

---

A | Ba5Pt3 PBE relaxed; DOS at the Fermi energy = 5.1 states/eV/f.u.; SG = P6_3/mcm; total moment = 0.0 μB/cell
1.0
9.316 0.000 0.000
-4.658 8.068 0.000
0.000 0.000 7.624
Pt Ba
6 10
Direct
0.390 0.390 0.250
0.610 0.610 0.750
0.610 0.000 0.250
0.000 0.610 0.250
0.390 0.000 0.750
0.000 0.390 0.750
0.736 0.000 0.750
0.736 0.736 0.250
0.264 0.264 0.750
0.333 0.667 0.000
0.000 0.736 0.750
0.333 0.667 0.500
0.264 0.000 0.250
0.667 0.333 0.000
0.000 0.264 0.250
0.667 0.333 0.500

---

B | Ba5Pt3 PBE relaxed; DOS at the Fermi energy = 4.3 states/eV/f.u.; SG = P-1; total moment = 0.0 μB/cell
1.0
9.806 0.043 0.378
-6.935 6.949 0.377
-1.079 -2.630 8.217
Pt Ba
6 10
Direct
0.751 0.750 0.001
0.451 0.951 0.200
0.250 0.251 0.000
0.153 0.348 0.500
0.550 0.050 0.801
0.848 0.653 0.500
0.346 0.629 0.880
0.872 0.154 0.121
0.129 0.847 0.879
0.886 0.997 0.703
0.760 0.260 0.531
0.115 0.004 0.297
0.497 0.387 0.703
0.655 0.372 0.121
0.504 0.614 0.297
0.241 0.741 0.470

---

Least stable structure: A